[1]
The following is a DFT calculation (PBE-GGA) of a relaxed CaNd2Zn crystal.

The total energy comes out at -3.321 eV/atom. Its total magnetization is 0.000 μB per atom. As for the space group: No. 123. The calculation puts the calculated density at 5145 kg/m3.

```
4
Lattice="3.763 0.000 0.000 0.000 3.763 0.000 0.000 0.000 8.982" Properties=species:S:1:pos:R:3 pbc="T T T"
Ca 0.000 0.000 0.000
Nd 1.881 1.881 2.776
Nd 1.881 1.881 6.206
Zn 0.000 0.000 4.491
```



[2]
The following is a DFT calculation (PBE-GGA) of a relaxed CeSnH6Ru crystal.

The total energy comes out at -4.542 eV/atom. Its total magnetization is 0.161 μB per atom. As for the space group: No. 8. The calculation puts the calculated density at 6788 kg/m3.

```
9
Lattice="4.178 -2.309 0.000 4.178 2.309 0.000 -0.083 0.000 4.641" Properties=species:S:1:pos:R:3 pbc="T T T"
Ce 0.000 0.000 0.000
Sn 2.729 0.000 2.788
H 4.520 1.433 2.359
H 6.301 1.115 0.952
H 4.398 0.000 0.586
H 5.935 0.000 3.581
H 4.520 -1.433 2.359
H 6.301 -1.115 0.952
Ru 5.449 0.000 1.974
```



[3]
The following is a DFT calculation (PBE-GGA) of a relaxed Pr3NdAg crystal.

The total energy comes out at -4.332 eV/atom. Its total magnetization is 0.000 μB per atom. As for the space group: No. 12. The calculation puts the calculated density at 6346 kg/m3.

```
10
Lattice="6.040 -4.317 0.000 6.040 4.317 0.000 -4.727 0.000 6.772" Properties=species:S:1:pos:R:3 pbc="T T T"
Pr -0.842 0.000 2.019
Pr 2.443 1.751 2.024
Pr 4.911 1.751 4.748
Pr 2.443 -1.751 2.024
Pr 4.911 -1.751 4.748
Pr 8.195 0.000 4.753
Nd 1.587 0.000 4.964
Nd 5.766 0.000 1.808
Ag -1.199 0.000 6.388
Ag 8.552 0.000 0.384
```



[4]
The following is a DFT calculation (PBE-GGA) of a relaxed Y2Zn3Ag2 crystal.

The total energy comes out at -3.516 eV/atom. Its total magnetization is 0.000 μB per atom. As for the space group: No. 12. The calculation puts the calculated density at 6902 kg/m3.

```
7
Lattice="4.998 -2.294 0.000 4.998 2.294 0.000 -2.466 0.000 6.189" Properties=species:S:1:pos:R:3 pbc="T T T"
Y 0.865 0.000 1.618
Y 6.664 0.000 4.571
Zn 3.835 0.000 0.495
Zn 3.765 0.000 3.094
Zn 3.694 0.000 5.694
Ag -0.340 0.000 4.497
Ag 7.869 0.000 1.691
```



[5]
The following is a DFT calculation (PBE-GGA) of a relaxed Nb2SnAu2 crystal.

The total energy comes out at -5.997 eV/atom. Its total magnetization is 0.000 μB per atom. As for the space group: No. 127. The calculation puts the calculated density at 11332 kg/m3.

```
10
Lattice="7.186 0.000 0.000 0.000 7.186 0.000 0.000 0.000 3.964" Properties=species:S:1:pos:R:3 pbc="T T T"
Nb 0.957 2.636 0.000
Nb 2.636 6.228 0.000
Nb 4.550 0.957 0.000
Nb 6.228 4.550 0.000
Sn 0.000 0.000 0.000
Sn 3.593 3.593 0.000
Au 1.104 4.697 1.982
Au 2.489 1.104 1.982
Au 4.697 6.082 1.982
Au 6.082 2.489 1.982
```



[6]
The following is a DFT calculation (PBE-GGA) of a relaxed NdMoIr crystal.

The total energy comes out at -8.372 eV/atom. Its total magnetization is 0.000 μB per atom. As for the space group: No. 63. The calculation puts the calculated density at 11122 kg/m3.

```
6
Lattice="2.216 -5.541 0.000 2.216 5.541 0.000 0.000 0.000 5.257" Properties=species:S:1:pos:R:3 pbc="T T T"
Nd 2.216 3.229 3.943
Nd 2.216 -3.229 1.314
Mo 2.216 0.000 0.000
Mo 2.216 0.000 2.629
Ir 2.216 4.854 1.314
Ir 2.216 -4.854 3.943
```



Q: What is the calculated density in the second record?
A: 6788 kg/m3



Q: Which of these has the highest calculated density?
A: Nb2SnAu2